Below is Ca2MnO2 after structural relaxation, with properties calculated at the GGA+U level.

For the polymorph energy (0 for the lowest one), the calculation gives 483 meV per atom. The value obtained for the raw total energy is -5.404 eV/atom.

abc: 7.282 7.282 3.056
angles: 90.00 90.00 90.00
Sites, in units of the cell vectors:
Ca1 0.362 0.862 0.000
Ca2 0.862 0.638 0.000
Ca3 0.638 0.138 0.000
Ca4 0.138 0.362 0.000
Mn1 0.000 0.000 0.000
Mn2 0.500 0.500 0.000
O1 0.141 0.641 0.500
O2 0.641 0.859 0.500
O3 0.859 0.359 0.500
O4 0.359 0.141 0.500